1.
! MgSe2IN (PBE, relaxed); values from VASP
&SYSTEM
  ibrav = 0, nat = 5, ntyp = 4
/
ATOMIC_SPECIES
Se 78.96 Se.upf
I 126.90 I.upf
N 14.01 N.upf
Mg 24.30 Mg.upf
CELL_PARAMETERS angstrom
-3.686 -3.526 1.462
-0.922 -1.149 -5.097
2.838 -2.908 0.142
ATOMIC_POSITIONS angstrom
Se -1.843 -1.763 0.731
Se -0.461 -0.574 -2.549
I -0.885 -3.792 -1.747
N 1.419 -1.454 0.071
Mg 0.000 0.000 0.000
! Energy above the most stable polymorph in this dataset   0.0000 eV/atom
! Formation energy without anion corrections   0.689 eV per atom
! Space group   P4/mmm

***

2.
! MgSiIN2 (PBE, relaxed); values from VASP
&SYSTEM
  ibrav = 0, nat = 5, ntyp = 4
/
ATOMIC_SPECIES
N 14.01 N.upf
Si 28.09 Si.upf
Mg 24.30 Mg.upf
I 126.90 I.upf
CELL_PARAMETERS angstrom
4.235 0.000 0.000
0.000 4.235 0.000
0.000 0.000 5.863
ATOMIC_POSITIONS angstrom
N 2.117 0.000 0.000
N 0.000 2.117 0.000
Si 2.117 2.117 2.932
Mg 0.000 0.000 0.000
I 0.000 0.000 2.932
! Energy above the most stable polymorph in this dataset   0.8628 eV/atom
! Formation energy without anion corrections   1.450 eV per atom
! Space group   P4/mmm